{"formula": "CuBP3", "functional": "PBE-GGA", "state": "optimized geometry", "lattice": [[4.081, 0.000, 0.000], [0.000, 4.081, 0.000], [0.000, 0.000, 4.081]], "species": ["Cu", "B", "P", "P", "P"], "frac_coords": [[0.000, 0.000, 0.000], [0.500, 0.500, 0.500], [0.000, 0.500, 0.500], [0.500, 0.000, 0.500], [0.500, 0.500, 0.000]], "polymorph_energy_kj_per_mol_atoms": 0.0, "total_energy_ev_per_atom": -4.489, "m_tot_mub_per_fu": 0.0, "volume_a3_per_atom": 13.60, "e_form_ev_per_atom": 0.91}